First-principles (PBE) data for a relaxed KPb3C crystal, as listed in the Alexandria database.

Properties
* E_form: 826.3 meV/atom
* density: 7.60 g cm⁻³
* E: -3.463 eV per atom
* space-group type: Pm-3m

Cell lengths 5.2783, 5.2783, 5.2783 Å; angles 90.00, 90.00, 90.00 degrees
Fractional positions:
K 0.0000 0.0000 0.0000
Pb 0.0000 0.5000 0.5000
Pb 0.5000 0.0000 0.5000
Pb 0.5000 0.5000 0.0000
C 0.5000 0.5000 0.5000

***

First-principles (PBE) data for a relaxed K2PbC crystal, as listed in the Alexandria database.

Properties
* E_form: 871.3 meV/atom
* density: 3.08 g cm⁻³
* E: -2.910 eV per atom
* space-group type: I-42d

Cell lengths 8.5750, 8.5750, 8.5750 Å; angles 94.34, 94.34, 148.05 degrees
Fractional positions:
K 0.3750 0.1927 0.3177
K 0.8073 0.1250 0.1823
K 0.8750 0.0573 0.6823
K 0.9427 0.6250 0.8177
Pb 0.2500 0.7500 0.5000
Pb 0.5000 0.5000 0.0000
C 0.0000 0.0000 0.0000
C 0.7500 0.2500 0.5000

***

First-principles (PBE) data for a relaxed K3PbC crystal, as listed in the Alexandria database.

Properties
* E_form: 907.3 meV/atom
* density: 2.83 g cm⁻³
* E: -2.338 eV per atom
* space-group type: Pm-3m

Cell lengths 5.8213, 5.8213, 5.8213 Å; angles 90.00, 90.00, 90.00 degrees
Fractional positions:
K 0.0000 0.0000 0.5000
K 0.0000 0.5000 0.0000
K 0.5000 0.0000 0.0000
Pb 0.5000 0.5000 0.5000
C 0.0000 0.0000 0.0000

***

Copy entry 1 word for word.
First-principles (PBE) data for a relaxed KPb3C crystal, as listed in the Alexandria database.

Properties
* E_form: 826.3 meV/atom
* density: 7.60 g cm⁻³
* E: -3.463 eV per atom
* space-group type: Pm-3m

Cell lengths 5.2783, 5.2783, 5.2783 Å; angles 90.00, 90.00, 90.00 degrees
Fractional positions:
K 0.0000 0.0000 0.0000
Pb 0.0000 0.5000 0.5000
Pb 0.5000 0.0000 0.5000
Pb 0.5000 0.5000 0.0000
C 0.5000 0.5000 0.5000